Computed, not measured: NdGe2MoO8 after structural relaxation at the GGA+U level of DFT.

Lattice parameters (Å, degrees): 7.034 7.034 6.257 90.00 90.00 90.00
Space group I-4m2 (No. 119)
One atom of each set of equivalent atoms:
Nd 0.000 0.000 0.000
Ge 0.000 0.000 0.500
Ge 0.000 0.500 0.250
Mo 0.000 0.500 0.750
O 0.000 0.196 0.679
O 0.000 0.332 0.039

## Properties
* total energy: -6.946 eV/atom
* calculated density: 5.5 g/cm3
* D(E_F): 0.00 states/eV/atom